An optimized crystal structure of Li2MnCrO4. Source: Alexandria via LeMat-Bulk, functional PBE+U. Values from VASP.

## Properties
- Total energy: -6.74 eV/atom
- Symmetry: C222_1
- Polymorph energy (0 for the lowest one): 9 meV/atom

Structure (Quantum ESPRESSO input):
```
&SYSTEM
  ibrav = 0, nat = 16, ntyp = 4
/
ATOMIC_SPECIES
O 16.00 O.upf
Li 6.94 Li.upf
Mn 54.94 Mn.upf
Cr 52.00 Cr.upf
CELL_PARAMETERS angstrom
5.244 -0.004 0.033
0.004 5.824 0.003
1.980 -0.004 4.856
ATOMIC_POSITIONS crystal
O 0.280 0.736 0.759
O 0.759 0.264 0.280
O 0.274 0.500 0.274
O 0.735 0.500 0.735
O 0.220 0.236 0.741
O 0.226 0.000 0.226
O 0.741 0.764 0.220
O 0.765 0.000 0.765
Li 0.994 0.500 0.994
Li 0.004 0.750 0.496
Li 0.506 0.000 0.506
Li 0.496 0.250 0.004
Mn 0.994 0.000 0.994
Mn 0.506 0.500 0.506
Cr 0.001 0.250 0.499
Cr 0.499 0.750 0.001
```